[1]
The following is a DFT calculation (PBE) of NbF after structural relaxation.

Structure (CIF):
```
data_NbF
_symmetry_space_group_name_H-M 'P m m n'
_symmetry_Int_Tables_number 59
_cell_length_a 2.810
_cell_length_b 2.928
_cell_length_c 7.863
_cell_angle_alpha 90.00
_cell_angle_beta 90.00
_cell_angle_gamma 90.00
loop_
_symmetry_equiv_pos_as_xyz
'x,y,z'
'-x,-y,-z'
'-x+1/2,-y+1/2,z'
'x+1/2,y+1/2,-z'
'x+1/2,-y,-z'
'-x+1/2,y,z'
'-x,y+1/2,-z'
'x,-y+1/2,z'
loop_
_atom_site_label
_atom_site_fract_x
_atom_site_fract_y
_atom_site_fract_z
Nb1 0.250 0.250 0.139
F1 0.250 0.750 0.336
```

Results
Formation energy without anion corrections = -1.638 eV/atom
Final energy = -7.6085 eV/atom
ΔE to the lowest computed polymorph = 0.0 meV per atom

[2]
The following is a DFT calculation (PBE) of PrPaBi after structural relaxation.

Structure (CIF):
```
data_PrPaBi
_symmetry_space_group_name_H-M 'P 3 m 1'
_symmetry_Int_Tables_number 156
_symmetry_space_group_name_Hall 'P 3 -2"'
_cell_length_a 5.5702
_cell_length_b 5.5702
_cell_length_c 3.4144
_cell_angle_alpha 90.00
_cell_angle_beta 90.00
_cell_angle_gamma 120.00
loop_
_atom_site_label
_atom_site_fract_x
_atom_site_fract_y
_atom_site_fract_z
Pr1 0.0000 0.0000 0.0000
Pa1 0.3333 0.6667 0.5420
Bi1 0.6667 0.3333 0.2826
```

Results
ΔH_f (0 K) = 0.39 eV per formula unit
Final energy = -5.9207 eV/atom
ΔE to the lowest computed polymorph = 158.0 meV per atom

[3]
The following is a DFT calculation (PBE) of BeTlBr4 after structural relaxation.

Structure (CIF):
```
data_BeTlBr4
_symmetry_space_group_name_H-M 'F -4 3 m'
_symmetry_Int_Tables_number 216
_symmetry_space_group_name_Hall 'F -4 2 3'
_cell_length_a 9.173
_cell_length_b 9.173
_cell_length_c 9.173
_cell_angle_alpha 90.00
_cell_angle_beta 90.00
_cell_angle_gamma 90.00
loop_
_atom_site_label
_atom_site_fract_x
_atom_site_fract_y
_atom_site_fract_z
Be1 0.000 0.000 0.000
Tl1 0.250 0.250 0.250
Br1 0.126 0.126 0.626
```

Results
Formation energy without anion corrections = 0.599 eV/atom
Final energy = -1.5315 eV/atom

[4]
The following is a DFT calculation (PBE) of La2TaAgO after structural relaxation.

Structure (CIF):
```
data_La2TaAgO
_symmetry_space_group_name_H-M 'P 4/m m m'
_symmetry_Int_Tables_number 123
_symmetry_space_group_name_Hall '-P 4 2'
_cell_length_a 4.872
_cell_length_b 4.872
_cell_length_c 4.718
_cell_angle_alpha 90.00
_cell_angle_beta 90.00
_cell_angle_gamma 90.00
loop_
_atom_site_label
_atom_site_fract_x
_atom_site_fract_y
_atom_site_fract_z
La1 0.000 0.500 0.000
Ta1 0.000 0.000 0.500
Ag1 0.500 0.500 0.500
O1 0.500 0.500 0.000
```

Results
Formation energy without anion corrections = -0.418 eV/atom
Final energy = -6.3215 eV/atom
ΔE to the lowest computed polymorph = 0.0 meV per atom

[5]
The following is a DFT calculation (PBE) of Mg4GaPd after structural relaxation.

Structure (CIF):
```
data_Mg4GaPd
_symmetry_space_group_name_H-M 'C 1 2/c 1'
_symmetry_Int_Tables_number 15
_symmetry_space_group_name_Hall '-C 2yc'
_cell_length_a 8.174
_cell_length_b 12.216
_cell_length_c 5.476
_cell_angle_alpha 90.00
_cell_angle_beta 114.97
_cell_angle_gamma 90.00
loop_
_atom_site_label
_atom_site_fract_x
_atom_site_fract_y
_atom_site_fract_z
Mg1 0.116 0.178 0.071
Mg2 0.206 0.425 0.319
Ga1 0.000 0.372 0.750
Pd1 0.000 0.004 0.250
```

Results
ΔH_f (0 K) = -1.85 eV per formula unit
Final energy = -2.7413 eV/atom
ΔE to the lowest computed polymorph = 49.1 meV per atom

[6]
The following is a DFT calculation (PBE) of Rb2TlAu after structural relaxation.

Structure (CIF):
```
data_Rb2TlAu
_symmetry_space_group_name_H-M 'R 3 m'
_symmetry_Int_Tables_number 160
_symmetry_space_group_name_Hall 'R 3 -2"'
_cell_length_a 4.4867
_cell_length_b 4.4867
_cell_length_c 31.4512
_cell_angle_alpha 90.00
_cell_angle_beta 90.00
_cell_angle_gamma 120.00
loop_
_atom_site_label
_atom_site_fract_x
_atom_site_fract_y
_atom_site_fract_z
Rb1 0.0000 0.0000 0.0000
Rb2 0.0000 0.0000 0.1911
Tl1 0.0000 0.0000 0.7620
Au1 0.0000 0.0000 0.5957
```

Results
ΔH_f (0 K) = -0.15 eV per formula unit
Final energy = -1.9317 eV/atom
ΔE to the lowest computed polymorph = 134.4 meV per atom

[7]
The following is a DFT calculation (PBE) of Tb3TlNi after structural relaxation.

Structure (CIF):
```
data_Tb3TlNi
_symmetry_space_group_name_H-M 'P m -3 m'
_symmetry_Int_Tables_number 221
_symmetry_space_group_name_Hall '-P 4 2 3'
_cell_length_a 5.218
_cell_length_b 5.218
_cell_length_c 5.218
_cell_angle_alpha 90.00
_cell_angle_beta 90.00
_cell_angle_gamma 90.00
loop_
_atom_site_label
_atom_site_fract_x
_atom_site_fract_y
_atom_site_fract_z
Tb1 0.000 0.000 0.500
Tl1 0.500 0.500 0.500
Ni1 0.000 0.000 0.000
```

Results
ΔH_f (0 K) = -0.86 eV per formula unit
Final energy = -4.5795 eV/atom
ΔE to the lowest computed polymorph = 129.0 meV per atom

[8]
The following is a DFT calculation (PBE) of LiHo4Cd5 after structural relaxation.

Structure (CIF):
```
data_LiHo4Cd5
_symmetry_space_group_name_H-M 'P 4/m m m'
_symmetry_Int_Tables_number 123
_symmetry_space_group_name_Hall '-P 4 2'
_cell_length_a 3.649
_cell_length_b 3.649
_cell_length_c 18.535
_cell_angle_alpha 90.00
_cell_angle_beta 90.00
_cell_angle_gamma 90.00
loop_
_atom_site_label
_atom_site_fract_x
_atom_site_fract_y
_atom_site_fract_z
Li1 0.000 0.000 0.000
Ho1 0.000 0.000 0.191
Ho2 0.000 0.000 0.396
Cd1 0.500 0.500 0.085
Cd2 0.500 0.500 0.294
Cd3 0.500 0.500 0.500
```

Results
ΔH_f (0 K) = -2.92 eV per formula unit
Final energy = -2.7722 eV/atom